Below is a relaxed structure of RbBa2VO4, with properties calculated at the PBE with a Hubbard U level.

a = 3.941 Å, b = 7.111 Å, c = 13.148 Å
α = 90.00°, β = 90.00°, γ = 106.09°
Each line ends with the local moment (μB).
Positions (direct):
O  0.746  0.492  0.620  -0.04
O  0.254  0.508  0.380  -0.04
O  0.658  0.315  0.250  -0.01
O  0.254  0.508  0.120  -0.04
O  0.000  0.000  0.000  0.00
O  0.342  0.685  0.750  -0.01
O  0.000  0.000  0.500  0.00
O  0.746  0.492  0.880  -0.04
Rb  0.897  0.793  0.250  0.01
Rb  0.103  0.207  0.750  0.01
Ba  0.372  0.743  0.959  0.01
Ba  0.372  0.743  0.541  0.01
Ba  0.628  0.257  0.459  0.01
Ba  0.628  0.257  0.041  0.01
V  0.200  0.400  0.250  1.82
V  0.800  0.600  0.750  1.82

Results
**Calculated volume**: 354.1 Å³/cell
**Symmetry**: Cmcm
**VASP energy**: -6.07 eV/atom